Material: CuRe2Rh
Method: DFT, PBE
State: relaxed

The structure belongs to space group Pmm2 (No. 25); the cell edges are 2.692, 3.907 and 5.374 Å and the angles 90.00°, 90.00° and 90.00°. Symmetry generates all atoms from Cu at (0.000, 0.000, 0.000), Re at (0.000, 0.000, 0.499), Re at (0.500, 0.500, 0.251) and Rh at (0.500, 0.500, 0.766).

As for the density of states at the Fermi level: 3.10 states/eV/cell. The energy comes out at -8.9956 eV per atom. The total magnetic moment is 0.000 μB/atom. As for the formation energy: 0.090 eV/atom. The calculated volume is 14.1 Å³ per atom. The polymorph energy (0 for the lowest one) comes out at 0.000 eV/atom.


Material: Cu2ReRh
Method: DFT, PBE
State: relaxed

The structure belongs to space group Pmmm (No. 47); the cell edges are 2.685, 4.522 and 4.530 Å and the angles 90.00°, 90.00° and 90.00°. Symmetry generates all atoms from Cu at (0.000, 0.000, 0.000), Cu at (0.500, 0.500, 0.000), Re at (0.000, 0.500, 0.500) and Rh at (0.500, 0.000, 0.500).

As for the density of states at the Fermi level: 4.84 states/eV/cell. The energy comes out at -6.7016 eV per atom. The total magnetic moment is 0.000 μB/atom. As for the formation energy: 0.296 eV/atom. The calculated volume is 13.8 Å³ per atom.


Material: CuRe2Rh
Method: DFT, PBE
State: relaxed

The structure belongs to space group I-42d (No. 122); the cell edges are 3.673, 3.673 and 18.219 Å and the angles 90.00°, 90.00° and 90.00°. Symmetry generates all atoms from Cu at (0.000, 0.000, 0.000), Re at (0.226, 0.250, 0.125) and Rh at (0.000, 0.000, 0.500).

As for the density of states at the Fermi level: 15.15 states/eV/cell. The energy comes out at -8.4821 eV per atom. The total magnetic moment is 0.000 μB/atom. As for the formation energy: 0.604 eV/atom. The calculated volume is 15.4 Å³ per atom. The polymorph energy (0 for the lowest one) comes out at 0.513 eV/atom.


Material: CuReRh4
Method: DFT, PBE
State: relaxed

The structure belongs to space group F-43m (No. 216); the cell edges are 7.113, 7.113 and 7.113 Å and the angles 90.00°, 90.00° and 90.00°. Symmetry generates all atoms from Cu at (0.000, 0.000, 0.000), Re at (0.250, 0.250, 0.750) and Rh at (0.125, 0.125, 0.375).

As for the density of states at the Fermi level: 18.61 states/eV/cell. The energy comes out at -7.1877 eV per atom. The total magnetic moment is 0.000 μB/atom. As for the formation energy: 0.471 eV/atom. The calculated volume is 15.0 Å³ per atom.


Material: Cu2ReRh
Method: DFT, PBE
State: relaxed

The structure belongs to space group R-3m (No. 166, hexagonal axes); the cell edges are 2.6956, 2.6956 and 25.9040 Å and the angles 90.00°, 90.00° and 120.00°. Symmetry generates all atoms from Cu at (0.0000, 0.0000, 0.2502), Re at (0.0000, 0.0000, 0.5000) and Rh at (0.0000, 0.0000, 0.0000).

As for the density of states at the Fermi level: 17.46 states/eV/cell. The energy comes out at -6.7848 eV per atom. The total magnetic moment is 0.020 μB/atom. As for the formation energy: 0.213 eV/atom. The calculated volume is 13.6 Å³ per atom.


Material: CuReRh
Method: DFT, PBE
State: relaxed

The structure belongs to space group P3m1 (No. 156); the cell edges are 2.7134, 2.7134 and 6.5782 Å and the angles 90.00°, 90.00° and 120.00°. Symmetry generates all atoms from Cu at (0.0000, 0.0000, 0.0000), Re at (0.6667, 0.3333, 0.3343) and Rh at (0.3333, 0.6667, 0.6638).

As for the density of states at the Fermi level: 2.55 states/eV/cell. The energy comes out at -7.8766 eV per atom. The total magnetic moment is 0.000 μB/atom. As for the formation energy: 0.089 eV/atom. The calculated volume is 14.0 Å³ per atom. The polymorph energy (0 for the lowest one) comes out at 0.020 eV/atom.


Material: Cu2ReRh
Method: DFT, PBE
State: relaxed

The structure belongs to space group Pmm2 (No. 25); the cell edges are 2.684, 3.819 and 5.267 Å and the angles 90.00°, 90.00° and 90.00°. Symmetry generates all atoms from Cu at (0.000, 0.000, 0.000), Cu at (0.500, 0.500, 0.219), Re at (0.000, 0.000, 0.497) and Rh at (0.500, 0.500, 0.718).

As for the density of states at the Fermi level: 2.70 states/eV/cell. The energy comes out at -6.8937 eV per atom. The total magnetic moment is 0.000 μB/atom. As for the formation energy: 0.104 eV/atom. The calculated volume is 13.5 Å³ per atom.


Material: CuReRh2
Method: DFT, PBE
State: relaxed

The structure belongs to space group R-3m (No. 166, hexagonal axes); the cell edges are 2.7474, 2.7474 and 25.8938 Å and the angles 90.00°, 90.00° and 120.00°. Symmetry generates all atoms from Cu at (0.0000, 0.0000, 0.0000), Re at (0.0000, 0.0000, 0.5000) and Rh at (0.0000, 0.0000, 0.2498).

As for the density of states at the Fermi level: 20.66 states/eV/cell. The energy comes out at -7.8203 eV per atom. The total magnetic moment is 0.000 μB/atom. As for the formation energy: -0.008 eV/atom. The calculated volume is 14.1 Å³ per atom.


Material: CuReRh2
Method: DFT, PBE
State: relaxed

The structure belongs to space group I-4m2 (No. 119); the cell edges are 3.732, 3.732 and 7.955 Å and the angles 90.00°, 90.00° and 90.00°. Symmetry generates all atoms from Cu at (0.000, 0.000, 0.000), Re at (0.000, 0.500, 0.750), Rh at (0.000, 0.000, 0.500) and Rh at (0.000, 0.500, 0.250).

As for the density of states at the Fermi level: 5.74 states/eV/cell. The energy comes out at -7.7210 eV per atom. The total magnetic moment is 0.000 μB/atom. As for the formation energy: 0.091 eV/atom. The calculated volume is 13.9 Å³ per atom.


Material: Cu2ReRh
Method: DFT, PBE
State: relaxed

The structure belongs to space group C2/m (No. 12); the cell edges are 8.834, 2.678 and 4.625 Å and the angles 90.00°, 99.81° and 90.00°. Symmetry generates all atoms from Cu at (0.249, 0.000, 0.248), Re at (0.000, 0.500, 0.000) and Rh at (0.000, 0.000, 0.500).

As for the density of states at the Fermi level: 8.09 states/eV/cell. The energy comes out at -6.8005 eV per atom. The total magnetic moment is 0.000 μB/atom. As for the formation energy: 0.197 eV/atom. The calculated volume is 13.5 Å³ per atom.


Material: Cu2ReRh
Method: DFT, PBE
State: relaxed

The structure belongs to space group Imm2 (No. 44); the cell edges are 2.828, 4.372 and 8.544 Å and the angles 90.00°, 90.00° and 90.00°. Symmetry generates all atoms from Cu at (0.000, 0.000, 0.000), Cu at (0.000, 0.500, 0.272), Re at (0.000, 0.000, 0.515) and Rh at (0.000, 0.500, 0.755).

As for the density of states at the Fermi level: 5.62 states/eV/cell. The energy comes out at -6.7775 eV per atom. The total magnetic moment is 0.000 μB/atom. As for the formation energy: 0.220 eV/atom. The calculated volume is 13.2 Å³ per atom.


Material: Cu2ReRh
Method: DFT, PBE
State: relaxed

The structure belongs to space group P4/mmm (No. 123); the cell edges are 4.356, 4.356 and 2.795 Å and the angles 90.00°, 90.00° and 90.00°. Symmetry generates all atoms from Cu at (0.000, 0.500, 0.000), Re at (0.000, 0.000, 0.500) and Rh at (0.500, 0.500, 0.500).

As for the density of states at the Fermi level: 4.50 states/eV/cell. The energy comes out at -6.6226 eV per atom. The total magnetic moment is 0.000 μB/atom. As for the formation energy: 0.375 eV/atom. The calculated volume is 13.3 Å³ per atom.